SrZrAuO2: relaxed, GGA-PBE.

Values from the calculation:
Space-group type   No. 123

a = 4.234 Å, b = 5.621 Å, c = 4.234 Å
α = 90.00°, β = 90.00°, γ = 90.00°
Fractional coordinates of all 5 atoms:
Zr: 0.000 0.000 0.000
Au: 0.000 0.500 0.000
O: 0.500 0.000 0.000
O: 0.000 0.000 0.500
Sr: 0.500 0.500 0.500



TaAu2O: relaxed, GGA-PBE.

Values from the calculation:
Space-group type   No. 122

a = 7.329 Å, b = 7.329 Å, c = 5.713 Å
α = 50.10°, β = 50.10°, γ = 90.00°
Fractional coordinates of all 8 atoms:
Ta: 0.000 0.000 0.000
Ta: 0.750 0.250 0.500
Au: 0.375 0.424 0.750
Au: 0.174 0.625 0.250
Au: 0.875 0.826 0.750
Au: 0.576 0.125 0.250
O: 0.250 0.750 0.500
O: 0.500 0.500 0.000



Ta3AuO: relaxed, GGA-PBE.

Values from the calculation:
Space-group type   No. 11

a = 3.007 Å, b = 5.741 Å, c = 9.299 Å
α = 90.00°, β = 90.00°, γ = 105.17°
Fractional coordinates of all 10 atoms:
Ta: 0.993 0.982 0.750
Ta: 0.007 0.018 0.250
Ta: 0.644 0.282 0.969
Ta: 0.356 0.718 0.031
Ta: 0.356 0.718 0.469
Ta: 0.644 0.282 0.531
O: 0.000 0.000 0.500
O: 0.000 0.000 0.000
Au: 0.265 0.525 0.750
Au: 0.735 0.475 0.250



Ta2AuO: relaxed, GGA-PBE.

Values from the calculation:
Space-group type   No. 225

a = 4.441 Å, b = 4.441 Å, c = 4.441 Å
α = 60.00°, β = 60.00°, γ = 60.00°
Fractional coordinates of all 4 atoms:
Ta: 0.250 0.250 0.250
Ta: 0.750 0.750 0.750
Au: 0.500 0.500 0.500
O: 0.000 0.000 0.000



TaAu2O: relaxed, GGA-PBE.

Values from the calculation:
Space-group type   No. 225

a = 4.496 Å, b = 4.496 Å, c = 4.496 Å
α = 60.00°, β = 60.00°, γ = 60.00°
Fractional coordinates of all 4 atoms:
O: 0.000 0.000 0.000
Ta: 0.500 0.500 0.500
Au: 0.250 0.250 0.250
Au: 0.750 0.750 0.750



Ta3AuO: relaxed, GGA-PBE.

Values from the calculation:
Space-group type   No. 221

a = 4.253 Å, b = 4.253 Å, c = 4.253 Å
α = 90.00°, β = 90.00°, γ = 90.00°
Fractional coordinates of all 5 atoms:
Ta: 0.500 0.000 0.000
Ta: 0.000 0.500 0.000
Ta: 0.000 0.000 0.500
Au: 0.500 0.500 0.500
O: 0.000 0.000 0.000



Formation energy from raw total energies
In order: -914; 43; -289; 26; 158; -258
Unit: kJ/mol of formula units